1.
A relaxed structure of In2Hg2I, computed with PBE.

```
10
Lattice="8.967 0.000 0.000 0.000 8.967 0.000 0.000 0.000 3.955" Properties=species:S:1:pos:R:3 pbc="T T T"
In 1.595 2.889 0.000
In 2.889 7.372 0.000
In 6.079 1.595 0.000
In 7.372 6.079 0.000
Hg 1.150 5.634 1.977
Hg 3.334 1.150 1.977
Hg 5.634 7.817 1.977
Hg 7.817 3.334 1.977
I 0.000 0.000 0.000
I 4.484 4.484 0.000
```

Calculated values
Energy above the lowest structure with this stoichiometry ... 0.000 eV/atom
SG ... P4/mbm (127)
Formation energy from raw total energies ... -0.57 eV/f.u.
Density ... 7.91 g/cm³

=====

2.
A relaxed structure of Cr2AgMo, computed with PBE.

```
4
Lattice="-1.902 1.902 4.030 1.902 -1.902 4.030 1.902 1.902 -4.030" Properties=species:S:1:pos:R:3 pbc="T T T"
Cr 0.000 0.000 0.000
Cr 0.000 1.902 2.015
Ag 0.000 0.000 4.030
Mo 1.902 0.000 2.015
```

Calculated values
Energy above the lowest structure with this stoichiometry ... 0.248 eV/atom
E_form ... 0.5962 eV per atom
SG ... I-4m2 (119)
Density ... 8.77 g/cm³

=====

3.
A relaxed structure of LiLa4In5, computed with PBE.

```
10
Lattice="3.666 0.000 0.000 0.000 3.666 0.000 0.000 0.000 21.163" Properties=species:S:1:pos:R:3 pbc="T T T"
Li 0.000 0.000 0.000
La 0.000 0.000 3.797
La 0.000 0.000 8.315
La 0.000 0.000 12.849
La 0.000 0.000 17.366
In 1.833 1.833 1.552
In 1.833 1.833 6.060
In 1.833 1.833 10.582
In 1.833 1.833 15.103
In 1.833 1.833 19.611
```

Calculated values
E_form ... -0.4744 eV per atom
SG ... P4/mmm (123)
Density ... 6.63 g/cm³

=====

4.
A relaxed structure of Tm4TlOs, computed with PBE.

```
12
Lattice="4.328 -6.463 0.000 4.328 6.463 0.000 -1.802 0.000 5.820" Properties=species:S:1:pos:R:3 pbc="T T T"
Tm 1.679 4.288 5.544
Tm 1.272 0.963 3.547
Tm 4.274 4.288 3.186
Tm 2.173 -0.963 0.637
Tm 4.681 0.963 5.183
Tm 2.580 -4.288 2.634
Tm 5.582 -0.963 2.273
Tm 5.176 -4.288 0.276
Tl 3.878 1.630 1.455
Tl 2.976 -1.630 4.365
Os 3.878 -6.459 1.455
Os 2.976 6.459 4.365
```

Calculated values
Energy above the lowest structure with this stoichiometry ... 0.000 eV/atom
E_form ... -0.3387 eV per atom
SG ... C2/c (15)
Density ... 10.92 g/cm³

=====

5.
A relaxed structure of LiNbTcSn2, computed with PBE.

```
5
Lattice="5.427 0.000 0.000 0.000 5.427 0.000 0.000 0.000 4.748" Properties=species:S:1:pos:R:3 pbc="T T T"
Li 0.000 0.000 0.000
Nb 2.714 2.714 2.374
Tc 2.714 2.714 0.000
Sn 0.000 2.714 2.374
Sn 2.714 0.000 2.374
```

Calculated values
E_form ... 0.7578 eV per atom
SG ... P4/mmm (123)
Density ... 5.17 g/cm³

=====

6.
A relaxed structure of FeNi2Rh, computed with PBE.

```
4
Lattice="4.256 -1.314 0.000 4.256 1.314 0.000 -0.830 0.000 4.371" Properties=species:S:1:pos:R:3 pbc="T T T"
Fe 0.000 0.000 0.000
Ni 3.813 0.000 2.100
Ni 6.156 0.000 1.035
Rh 1.492 0.000 3.202
```

Calculated values
E_form ... -0.0061 eV per atom
SG ... Cm (8)
Density ... 9.38 g/cm³

=====

no.,DOS(E_F) (states/eV/cell),spin magnetization (Bohr magnetons per cell)
1,3.28,0.000
2,4.27,0.624
3,7.33,0.000
4,10.00,0.000
5,3.67,1.666
6,5.05,5.048